The following is a DFT calculation (GGA-PBE) of crystalline NaH4CSNO2 at its relaxed geometry.

- E (eV for the cell shown) = -216.3
- spin magnetization (μB/atom) = 0.00
- SG = C2/c

Lattice parameters (Å, degrees): 9.1178 9.1178 6.7185 78.18 78.18 96.93
Atoms (fractional coordinates):
1 Na 0.9317 0.0683 0.7500
2 Na 0.0683 0.9317 0.2500
3 Na 0.2034 0.7966 0.7500
4 Na 0.7966 0.2034 0.2500
5 H 0.9811 0.6268 0.1558
6 H 0.3732 0.0189 0.3442
7 H 0.0189 0.3732 0.8442
8 H 0.6268 0.9811 0.6558
9 H 0.1456 0.6261 0.1801
10 H 0.3739 0.8544 0.3199
11 H 0.8544 0.3739 0.8199
12 H 0.6261 0.1456 0.6801
13 H 0.2189 0.5001 0.6007
14 H 0.4999 0.7811 0.8993
15 H 0.7811 0.4999 0.3993
16 H 0.5001 0.2189 0.1007
17 H 0.2693 0.4706 0.8087
18 H 0.5294 0.7307 0.6913
19 H 0.7307 0.5294 0.1913
20 H 0.4706 0.2693 0.3087
21 C 0.8555 0.7049 0.6746
22 C 0.2951 0.1445 0.8254
23 C 0.1445 0.2951 0.3254
24 C 0.7049 0.8555 0.1746
25 S 0.7217 0.5585 0.7115
26 S 0.4415 0.2783 0.7885
27 S 0.2783 0.4415 0.2885
28 S 0.5585 0.7217 0.2115
29 N 0.9503 0.8127 0.6492
30 N 0.1873 0.0497 0.8508
31 N 0.0497 0.1873 0.3508
32 N 0.8127 0.9503 0.1492
33 O 0.0798 0.6958 0.1276
34 O 0.3042 0.9202 0.3724
35 O 0.9202 0.3042 0.8724
36 O 0.6958 0.0798 0.6276
37 O 0.1944 0.5187 0.7434
38 O 0.4813 0.8056 0.7566
39 O 0.8056 0.4813 0.2566
40 O 0.5187 0.1944 0.2434